1.
Entry from Alexandria via LeMat-Bulk: a geometry-optimized Pa2P4Ir3Ru structure (PBE-GGA). Values from VASP.

- DFT formation energy: -0.94 eV per atom

```
&SYSTEM
  ibrav = 0, nat = 10, ntyp = 4
/
ATOMIC_SPECIES
Pa 231.04 Pa.upf
P 30.97 P.upf
Ir 192.22 Ir.upf
Ru 101.07 Ru.upf
ATOMIC_POSITIONS crystal
Pa 0.000 0.500 0.244
Pa 0.500 0.000 0.756
P 0.000 0.000 0.000
P 0.000 0.500 0.636
P 0.500 0.000 0.364
P 0.500 0.500 0.000
Ir 0.000 0.500 0.884
Ir 0.500 0.000 0.116
Ir 0.500 0.500 0.500
Ru 0.000 0.000 0.500
CELL_PARAMETERS angstrom
4.148 0.000 0.000
0.000 4.148 0.000
0.000 0.000 9.491
```

2.
Entry from Alexandria via LeMat-Bulk: a geometry-optimized K2NdCd2Te4 structure (PBE-GGA). Values from VASP.

- Formation energy from raw total energies: -0.875 eV per atom

```
&SYSTEM
  ibrav = 0, nat = 9, ntyp = 4
/
ATOMIC_SPECIES
K 39.10 K.upf
Nd 144.24 Nd.upf
Cd 112.41 Cd.upf
Te 127.60 Te.upf
ATOMIC_POSITIONS crystal
K 0.126 0.126 0.066
K 0.874 0.874 0.934
Nd 0.000 0.000 0.500
Cd 0.311 0.311 0.489
Cd 0.689 0.689 0.511
Te 0.196 0.196 0.729
Te 0.478 0.478 0.738
Te 0.522 0.522 0.262
Te 0.804 0.804 0.271
CELL_PARAMETERS angstrom
8.810 -2.263 0.000
8.810 2.263 0.000
-3.612 0.000 8.070
```

3.
Entry from Alexandria via LeMat-Bulk: a geometry-optimized BeCo3Tc structure (PBE-GGA). Values from VASP.

- DFT formation energy: 0.51 eV per atom

```
&SYSTEM
  ibrav = 0, nat = 5, ntyp = 3
/
ATOMIC_SPECIES
Be 9.01 Be.upf
Co 58.93 Co.upf
Tc 98.00 Tc.upf
ATOMIC_POSITIONS crystal
Be 0.000 0.000 0.000
Co 0.000 0.000 0.500
Co 0.000 0.500 0.000
Co 0.500 0.000 0.000
Tc 0.500 0.500 0.500
CELL_PARAMETERS angstrom
3.851 0.000 0.000
0.000 3.851 0.000
0.000 0.000 3.851
```

4.
Entry from Alexandria via LeMat-Bulk: a geometry-optimized PaTi2Ga2Cu2 structure (PBE-GGA). Values from VASP.

- DFT formation energy: -0.17 eV per atom

```
&SYSTEM
  ibrav = 0, nat = 7, ntyp = 4
/
ATOMIC_SPECIES
Pa 231.04 Pa.upf
Ti 47.87 Ti.upf
Ga 69.72 Ga.upf
Cu 63.55 Cu.upf
ATOMIC_POSITIONS crystal
Pa 0.000 0.000 0.000
Ti 0.137 0.137 0.137
Ti 0.863 0.863 0.863
Ga 0.258 0.258 0.258
Ga 0.742 0.742 0.742
Cu 0.438 0.438 0.438
Cu 0.562 0.562 0.562
CELL_PARAMETERS angstrom
2.134 1.232 7.682
-2.134 1.232 7.682
0.000 -2.464 7.682
```

5.
Entry from Alexandria via LeMat-Bulk: a geometry-optimized AlCo2P structure (PBE-GGA). Values from VASP.

- DFT formation energy: -0.32 eV per atom
- Energy relative to the lowest polymorph listed for this composition: 1.967 kcal/mol of atoms

```
&SYSTEM
  ibrav = 0, nat = 4, ntyp = 3
/
ATOMIC_SPECIES
Al 26.98 Al.upf
Co 58.93 Co.upf
P 30.97 P.upf
ATOMIC_POSITIONS crystal
Al 0.000 0.000 0.000
Co 0.267 0.000 0.532
Co 0.635 0.500 0.267
P 0.357 0.500 0.709
CELL_PARAMETERS angstrom
2.735 0.000 0.000
0.000 4.081 0.000
-1.362 0.000 4.231
```

6.
Entry from Alexandria via LeMat-Bulk: a geometry-optimized CuNi6Pd8 structure (PBE-GGA). Values from VASP.

- DFT formation energy: 0.16 eV per atom

```
&SYSTEM
  ibrav = 0, nat = 15, ntyp = 3
/
ATOMIC_SPECIES
Cu 63.55 Cu.upf
Ni 58.69 Ni.upf
Pd 106.42 Pd.upf
ATOMIC_POSITIONS crystal
Cu 0.000 0.000 0.000
Ni 0.087 0.608 0.753
Ni 0.392 0.479 0.753
Ni 0.479 0.087 0.247
Ni 0.521 0.913 0.753
Ni 0.608 0.521 0.247
Ni 0.913 0.392 0.247
Pd 0.086 0.302 0.737
Pd 0.216 0.914 0.737
Pd 0.302 0.216 0.263
Pd 0.333 0.667 0.252
Pd 0.667 0.333 0.748
Pd 0.698 0.784 0.737
Pd 0.784 0.086 0.263
Pd 0.914 0.698 0.263
CELL_PARAMETERS angstrom
9.439 0.000 0.000
-4.720 8.175 0.000
0.000 0.000 2.748
```

7.
Entry from Alexandria via LeMat-Bulk: a geometry-optimized PmNdDy4Ho2 structure (PBE-GGA). Values from VASP.

- DFT formation energy: 0.43 eV per atom

```
&SYSTEM
  ibrav = 0, nat = 16, ntyp = 4
/
ATOMIC_SPECIES
Pm 145.00 Pm.upf
Nd 144.24 Nd.upf
Dy 162.50 Dy.upf
Ho 164.93 Ho.upf
ATOMIC_POSITIONS crystal
Pm 0.000 0.500 0.000
Pm 0.500 0.000 0.500
Nd 0.000 0.000 0.000
Nd 0.000 0.000 0.500
Dy 0.251 0.256 0.505
Dy 0.254 0.746 0.501
Dy 0.254 0.746 0.999
Dy 0.256 0.251 0.005
Dy 0.744 0.749 0.995
Dy 0.746 0.254 0.001
Dy 0.746 0.254 0.499
Dy 0.749 0.744 0.495
Ho 0.000 0.500 0.500
Ho 0.500 0.000 0.000
Ho 0.500 0.500 0.000
Ho 0.500 0.500 0.500
CELL_PARAMETERS angstrom
6.813 -6.630 0.000
6.813 6.630 0.000
-3.404 0.000 5.899
```

8.
Entry from Alexandria via LeMat-Bulk: a geometry-optimized Ac2Br5F structure (PBE-GGA). Values from VASP.

- Formation energy from raw total energies: -2.128 eV per atom

```
&SYSTEM
  ibrav = 0, nat = 16, ntyp = 3
/
ATOMIC_SPECIES
Ac 227.00 Ac.upf
Br 79.90 Br.upf
F 19.00 F.upf
ATOMIC_POSITIONS crystal
Ac 0.235 0.765 0.655
Ac 0.235 0.765 0.845
Ac 0.765 0.235 0.155
Ac 0.765 0.235 0.345
Br 0.127 0.873 0.250
Br 0.162 0.838 0.072
Br 0.162 0.838 0.428
Br 0.407 0.593 0.110
Br 0.407 0.593 0.390
Br 0.593 0.407 0.610
Br 0.593 0.407 0.890
Br 0.838 0.162 0.572
Br 0.838 0.162 0.928
Br 0.873 0.127 0.750
F 0.316 0.684 0.250
F 0.684 0.316 0.750
CELL_PARAMETERS angstrom
1.953 -7.447 0.000
1.953 7.447 0.000
0.000 0.000 20.837
```

9.
Entry from Alexandria via LeMat-Bulk: a geometry-optimized CaCo2Au2 structure (PBE-GGA). Values from VASP.

- DFT formation energy: 0.00 eV per atom
- Energy relative to the lowest polymorph listed for this composition: 0.809 kcal/mol of atoms

```
&SYSTEM
  ibrav = 0, nat = 10, ntyp = 3
/
ATOMIC_SPECIES
Ca 40.08 Ca.upf
Co 58.93 Co.upf
Au 196.97 Au.upf
ATOMIC_POSITIONS crystal
Ca 0.000 0.000 0.000
Ca 0.500 0.500 0.500
Co 0.000 0.000 0.395
Co 0.000 0.000 0.605
Co 0.500 0.500 0.105
Co 0.500 0.500 0.895
Au 0.000 0.500 0.250
Au 0.000 0.500 0.750
Au 0.500 0.000 0.250
Au 0.500 0.000 0.750
CELL_PARAMETERS angstrom
4.307 0.000 0.000
0.000 4.307 0.000
0.000 0.000 10.077
```

10.
Entry from Alexandria via LeMat-Bulk: a geometry-optimized VCrS2N structure (PBE-GGA). Values from VASP.

- Energy relative to the lowest polymorph listed for this composition: 3.864 kcal/mol of atoms
- Formation energy from raw total energies: 0.482 eV per atom

```
&SYSTEM
  ibrav = 0, nat = 5, ntyp = 4
/
ATOMIC_SPECIES
V 50.94 V.upf
Cr 52.00 Cr.upf
S 32.06 S.upf
N 14.01 N.upf
ATOMIC_POSITIONS crystal
V 0.000 0.000 0.000
Cr 0.500 0.500 0.500
S 0.000 0.500 0.000
S 0.500 0.000 0.000
N 0.000 0.000 0.500
CELL_PARAMETERS angstrom
4.655 0.000 0.000
0.000 4.655 0.000
0.000 0.000 3.587
```

11.
Entry from Alexandria via LeMat-Bulk: a geometry-optimized TcB3N structure (PBE-GGA). Values from VASP.

- Energy relative to the lowest polymorph listed for this composition: 0.000 kcal/mol of atoms
- Formation energy from raw total energies: 1.380 eV per atom

```
&SYSTEM
  ibrav = 0, nat = 5, ntyp = 3
/
ATOMIC_SPECIES
Tc 98.00 Tc.upf
B 10.81 B.upf
N 14.01 N.upf
ATOMIC_POSITIONS crystal
Tc 0.000 0.000 0.000
B 0.000 0.500 0.500
B 0.500 0.000 0.500
B 0.500 0.500 0.000
N 0.500 0.500 0.500
CELL_PARAMETERS angstrom
3.437 0.000 0.000
0.000 3.437 0.000
0.000 0.000 3.437
```

12.
Entry from Alexandria via LeMat-Bulk: a geometry-optimized BaP2ClO structure (PBE-GGA). Values from VASP.

- Energy relative to the lowest polymorph listed for this composition: 33.742 kcal/mol of atoms
- Formation energy from raw total energies: 0.869 eV per atom

```
&SYSTEM
  ibrav = 0, nat = 5, ntyp = 4
/
ATOMIC_SPECIES
Ba 137.33 Ba.upf
P 30.97 P.upf
Cl 35.45 Cl.upf
O 16.00 O.upf
ATOMIC_POSITIONS crystal
Ba 0.000 0.000 0.000
P 0.000 0.500 0.000
P 0.500 0.000 0.000
Cl 0.000 0.000 0.500
O 0.500 0.500 0.500
CELL_PARAMETERS angstrom
6.674 0.000 0.000
0.000 6.674 0.000
0.000 0.000 5.900
```

13.
Entry from Alexandria via LeMat-Bulk: a geometry-optimized SiTc2Mo structure (PBE-GGA). Values from VASP.

- Formation energy from raw total energies: 0.047 eV per atom

```
&SYSTEM
  ibrav = 0, nat = 12, ntyp = 3
/
ATOMIC_SPECIES
Si 28.09 Si.upf
Tc 98.00 Tc.upf
Mo 95.94 Mo.upf
ATOMIC_POSITIONS crystal
Si 0.000 0.000 0.000
Si 0.333 0.667 0.667
Si 0.667 0.333 0.333
Tc 0.000 0.000 0.392
Tc 0.000 0.000 0.584
Tc 0.333 0.667 0.059
Tc 0.333 0.667 0.251
Tc 0.667 0.333 0.726
Tc 0.667 0.333 0.918
Mo 0.000 0.000 0.802
Mo 0.333 0.667 0.468
Mo 0.667 0.333 0.135
CELL_PARAMETERS angstrom
4.139 0.000 0.000
-2.070 3.585 0.000
0.000 0.000 12.843
```

14.
Entry from Alexandria via LeMat-Bulk: a geometry-optimized MnSiBr structure (PBE-GGA). Values from VASP.

- Energy relative to the lowest polymorph listed for this composition: 10.825 kcal/mol of atoms
- Formation energy from raw total energies: 0.567 eV per atom

```
&SYSTEM
  ibrav = 0, nat = 3, ntyp = 3
/
ATOMIC_SPECIES
Mn 54.94 Mn.upf
Si 28.09 Si.upf
Br 79.90 Br.upf
ATOMIC_POSITIONS crystal
Mn 0.000 0.000 0.000
Si 0.333 0.667 0.447
Br 0.667 0.333 0.966
CELL_PARAMETERS angstrom
4.415 0.000 0.000
-2.208 3.824 0.000
0.000 0.000 3.163
```

15.
Entry from Alexandria via LeMat-Bulk: a geometry-optimized FeAg2PH structure (PBE-GGA). Values from VASP.

```
&SYSTEM
  ibrav = 0, nat = 5, ntyp = 4
/
ATOMIC_SPECIES
Fe 55.84 Fe.upf
Ag 107.87 Ag.upf
P 30.97 P.upf
H 1.01 H.upf
ATOMIC_POSITIONS crystal
Fe 0.000 0.000 0.000
Ag 0.000 0.500 0.000
Ag 0.500 0.000 0.000
P 0.000 0.000 0.500
H 0.500 0.500 0.500
CELL_PARAMETERS angstrom
5.046 0.000 0.000
0.000 5.046 0.000
0.000 0.000 4.139
```

16.
Entry from Alexandria via LeMat-Bulk: a geometry-optimized Rb2TcBr2Cl4 structure (PBE-GGA). Values from VASP.

- Formation energy from raw total energies: -1.256 eV per atom

```
&SYSTEM
  ibrav = 0, nat = 9, ntyp = 4
/
ATOMIC_SPECIES
Rb 85.47 Rb.upf
Tc 98.00 Tc.upf
Br 79.90 Br.upf
Cl 35.45 Cl.upf
ATOMIC_POSITIONS crystal
Rb 0.250 0.250 0.249
Rb 0.750 0.750 0.751
Tc 0.500 0.500 0.000
Br 0.255 0.255 0.751
Br 0.745 0.745 0.249
Cl 0.271 0.724 0.224
Cl 0.276 0.729 0.776
Cl 0.724 0.271 0.224
Cl 0.729 0.276 0.776
CELL_PARAMETERS angstrom
6.383 -3.706 0.000
6.383 3.706 0.000
-4.307 0.000 6.037
```

17.
Entry from Alexandria via LeMat-Bulk: a geometry-optimized KCNO structure (PBE-GGA). Values from VASP.

- Formation energy from raw total energies: -0.744 eV per atom

```
&SYSTEM
  ibrav = 0, nat = 8, ntyp = 4
/
ATOMIC_SPECIES
K 39.10 K.upf
C 12.01 C.upf
N 14.01 N.upf
O 16.00 O.upf
ATOMIC_POSITIONS crystal
K 0.250 0.250 0.250
K 0.750 0.750 0.750
C 0.000 0.000 0.000
C 0.500 0.500 0.500
N 0.143 0.143 0.857
N 0.857 0.857 0.143
O 0.361 0.639 0.361
O 0.639 0.361 0.639
CELL_PARAMETERS angstrom
0.000 4.242 4.377
3.578 0.000 4.377
3.578 4.242 0.000
```

no.,electronic total energy (eV per atom)
1,-8.59
2,-3.25
3,-6.57
4,-5.82
5,-6.16
6,-5.20
7,-4.21
8,-4.43
9,-4.55
10,-6.58
11,-6.36
12,-3.04
13,-9.20
14,-4.86
15,-3.61
16,-3.82
17,-6.65